Computed, not measured: an optimized crystal structure of NaBPb at the GGA-PBE level of DFT.

Output
- E (eV/atom) = -3.41
- calculated formation energy (eV per atom) = 0.487
- total magnetization (μB/f.u.) = 0.000

```
NaBPb
1.0
4.150 0.000 0.000
-2.073 5.344 0.000
-0.002 -2.296 6.299
Na B Pb
2 2 2
Direct
0.000 0.000 0.000 Na
0.247 0.493 0.791 Na
0.804 0.610 0.592 B
0.953 0.895 0.568 B
0.547 0.089 0.466 Pb
0.758 0.511 0.203 Pb
```

=====

Computed, not measured: an optimized crystal structure of PtN2OF at the GGA-PBE level of DFT.

Output
- E (eV/atom) = -4.50
- total magnetization (μB/f.u.) = 1.948
- raw formation energy (eV per atom) = 1.407

```
PtN2OF
1.0
3.816 0.000 0.000
0.000 3.816 0.000
0.000 0.000 4.111
Pt N O F
1 2 1 1
Direct
0.000 0.000 0.000 Pt
0.000 0.500 0.000 N
0.500 0.000 0.000 N
0.000 0.000 0.500 O
0.500 0.500 0.500 F
```

=====

Computed, not measured: an optimized crystal structure of Na2TaRu at the GGA-PBE level of DFT.

Output
- E (eV/atom) = -4.66
- ΔE to the lowest computed polymorph (kJ per mole of atoms) = 0.00
- calculated formation energy (eV per atom) = 1.285
- total magnetization (μB/f.u.) = 0.000

```
Na2TaRu
1.0
-4.275 4.275 2.413
4.275 -4.275 2.413
4.275 4.275 -2.413
Na Ta Ru
4 2 2
Direct
0.082 0.625 0.957 Na
0.375 0.332 0.457 Na
0.668 0.125 0.043 Na
0.875 0.918 0.543 Na
0.250 0.750 0.500 Ta
0.500 0.500 0.000 Ta
0.000 0.000 0.000 Ru
0.750 0.250 0.500 Ru
```